The following is a DFT calculation (PBE-GGA) of Na4SmEr3Te8 after structural relaxation.

Cell lengths 8.8510, 8.8510, 22.6975 Å; angles 90.00, 90.00, 120.00 degrees
With the nearest neighbours (Å) after each atom.
Space group R-3m (No. 166, hexagonal axes)
Unique sites:
Na 0.0000 0.0000 0.0000  6 Te 3.23
Na 0.0000 0.5000 0.0000  6 Te 3.27-3.28
Sm 0.0000 0.0000 0.5000  6 Te 3.14
Er 0.0000 0.5000 0.5000  6 Te 3.08-3.09
Te 0.0000 0.0000 0.2431  3 Er 3.09, 3 Na 3.27
Te 0.0058 0.5029 0.7559  2 Er 3.08, 1 Sm 3.14, 3 Na 3.23-3.28

Output
Electronic total energy, eV/atom: -4.359
Formation energy (no corrections), eV/atom: -1.31
Total moment, Bohr magnetons per cell: 0.0

***

The following is a DFT calculation (PBE-GGA) of Na2SmErTe4 after structural relaxation.

Cell lengths 7.7094, 4.4523, 7.9908 Å; angles 90.00, 108.73, 90.00 degrees
With the nearest neighbours (Å) after each atom.
Space group P2/m (No. 10)
Unique sites:
Na 0.0000 0.0000 0.0000  6 Te 3.29
Na 0.5000 0.5000 0.0000  6 Te 3.24
Sm 0.0000 0.5000 0.5000  6 Te 3.14-3.15
Er 0.5000 0.0000 0.5000  6 Te 3.09
Te 0.2508 0.0000 0.7349  1 Er 3.09, 2 Sm 3.14, 3 Na 3.24-3.29
Te 0.2621 0.5000 0.2684  2 Er 3.09, 1 Sm 3.15, 3 Na 3.24-3.29

Output
Electronic total energy, eV/atom: -4.374
Formation energy (no corrections), eV/atom: -1.31
Total moment, Bohr magnetons per cell: 0.0

***

The following is a DFT calculation (PBE-GGA) of Na3SmEr2Te6 after structural relaxation.

Cell lengths 7.6792, 13.3005, 7.9904 Å; angles 90.00, 108.70, 90.00 degrees
With the nearest neighbours (Å) after each atom.
Space group C2/m (No. 12)
Unique sites:
Na 0.0000 0.0000 0.0000  6 Te 3.23-3.28
Na 0.0000 0.3355 0.0000  6 Te 3.24-3.29
Sm 0.0000 0.5000 0.5000  6 Te 3.15
Er 0.0000 0.1670 0.5000  6 Te 3.08-3.09
Te 0.2373 0.0000 0.7320  2 Er 3.09, 1 Sm 3.15, 3 Na 3.23-3.27
Te 0.2475 0.3301 0.7322  2 Er 3.08, 1 Sm 3.15, 3 Na 3.24-3.29

Output
Electronic total energy, eV/atom: -4.365
Formation energy (no corrections), eV/atom: -1.31
Total moment, Bohr magnetons per cell: 0.0

***

The following is a DFT calculation (PBE-GGA) of NaSm3Er2Te6 after structural relaxation.

Cell lengths 19.2823, 4.3845, 8.8707 Å; angles 90.00, 103.72, 90.00 degrees
With the nearest neighbours (Å) after each atom.
Space group C2/m (No. 12)
Unique sites:
Na 0.0000 0.0000 0.0000  6 Te 3.09-3.17
Sm 0.0000 0.0000 0.5000  6 Te 3.15-3.17
Sm 0.1603 0.5000 0.8213  6 Te 3.10-3.21
Er 0.1661 0.5000 0.3384  6 Te 3.02-3.12
Te 0.0051 0.5000 0.2481  1 Er 3.02, 2 Na 3.09, 3 Sm 3.10-3.15
Te 0.1693 0.0000 0.0897  2 Er 3.12, 1 Na 3.17, 3 Sm 3.19-3.21
Te 0.1689 0.0000 0.5769  3 Er 3.04-3.09, 3 Sm 3.12-3.17

Output
Electronic total energy, eV/atom: -4.941
Formation energy (no corrections), eV/atom: -1.32
Total moment, Bohr magnetons per cell: 0.0
D(E_F), states/eV/cell: 8.8

***

The following is a DFT calculation (PBE-GGA) of NaSmErTl after structural relaxation.

Cell lengths 7.6837, 7.6837, 7.6837 Å; angles 90.00, 90.00, 90.00 degrees
With the nearest neighbours (Å) after each atom.
Space group F-43m (No. 216)
Unique sites:
Na 0.0000 0.0000 0.0000  4 Sm 3.33, 4 Er 3.33
Sm 0.2500 0.2500 0.7500  4 Tl 3.33, 4 Na 3.33
Er 0.2500 0.2500 0.2500  4 Na 3.33, 4 Tl 3.33
Tl 0.0000 0.0000 0.5000  4 Er 3.33, 4 Sm 3.33

Output
Electronic total energy, eV/atom: -3.296
Total moment, Bohr magnetons per cell: 0.0
D(E_F), states/eV/cell: 17.8

***

The following is a DFT calculation (PBE-GGA) of Na2ErSn9 after structural relaxation.

Cell lengths 4.6697, 4.6697, 14.4995 Å; angles 90.00, 90.00, 90.00 degrees
With the nearest neighbours (Å) after each atom.
Space group P4/mmm (No. 123)
Unique sites:
Na 0.0000 0.0000 0.1688  12 Sn 3.30-3.38
Er 0.0000 0.0000 0.5000  12 Sn 3.30-3.35
Sn 0.0000 0.5000 0.0000  8 Sn 3.30-3.34, 4 Na 3.38
Sn 0.0000 0.5000 0.3343  8 Sn 3.30-3.39, 2 Na 3.35, 2 Er 3.35
Sn 0.5000 0.5000 0.1647  4 Na 3.30, 8 Sn 3.34-3.39
Sn 0.5000 0.5000 0.5000  4 Er 3.30, 8 Sn 3.35

Output
Electronic total energy, eV/atom: -3.805
Total moment, Bohr magnetons per cell: 0.0
D(E_F), states/eV/cell: 5.3